The following is a PBE-GGA calculation of an optimized crystal structure of CsZn3, from OQMD via LeMat-Bulk.

Results
As for the space-group type: Pnma, No. 62. As for the energy above the most stable polymorph in this dataset: 123 meV/atom.

Cell and atoms, written as extended XYZ:
```
16
Lattice="-5.233 1.050 -6.851 -3.415 -2.484 2.228 -3.795 9.063 4.288" Properties=species:S:1:pos:R:3 pbc="T T T"
Cs -7.919 0.268 -4.167
Cs -6.235 1.970 0.312
Cs -6.208 5.660 -0.648
Cs -4.523 7.361 3.831
Zn -4.891 -1.134 -1.088
Zn -3.155 0.904 -1.270
Zn -4.963 1.865 -2.972
Zn -2.726 2.245 0.882
Zn -6.696 3.639 -3.650
Zn -9.165 3.352 -2.639
Zn -3.277 4.278 2.304
Zn -5.746 3.991 3.314
Zn -9.717 5.385 -1.218
Zn -7.479 5.765 2.636
Zn -9.288 6.725 0.934
Zn -7.552 8.763 0.752
```